[1]
9
Lattice="-1.952 0.841 -4.212 -2.712 -1.555 3.588 -1.184 6.183 1.784" Properties=species:S:1:pos:R:3 comment="Nb2VSi6 | Alexandria via LeMat-Bulk | GGA-PBE | optimized geometry" sg="C222, No. 21" pbc="T T T"
Nb -2.144 3.338 2.981
Nb -2.728 1.711 0.285
Si -3.495 -0.354 -1.093
Si -3.000 0.850 2.910
Si -1.168 -0.359 0.470
Si -1.850 4.190 0.402
Si -2.437 2.480 -2.367
Si -4.408 3.420 1.375
V -0.976 0.421 -2.106

=====

[2]
5
Lattice="4.440 0.000 0.000 0.000 4.440 0.000 0.000 0.000 4.440" Properties=species:S:1:pos:R:3 comment="NbVSi3 | Alexandria via LeMat-Bulk | GGA-PBE | optimized geometry" sg="Pm-3m, No. 221" pbc="T T T"
V 0.000 0.000 0.000
Nb 2.220 2.220 2.220
Si 0.000 2.220 0.000
Si 2.220 0.000 0.000
Si 0.000 0.000 2.220

=====

[3]
22
Lattice="9.396 0.278 -1.174 5.474 5.123 5.790 -6.189 -7.069 -1.212" Properties=species:S:1:pos:R:3 comment="Nb4V2Si5 | Alexandria via LeMat-Bulk | GGA-PBE | optimized geometry" sg="Ibam, No. 72" pbc="T T T"
Si 2.340 -2.458 -0.679
Si -0.179 -0.486 1.144
Si -3.616 -4.501 0.281
Si 12.298 2.834 3.123
Si 8.712 2.495 2.420
Si -0.536 -1.459 3.433
Si 3.533 -1.193 2.802
Si -0.030 -4.162 0.984
Si 5.149 -0.474 0.602
Si 6.341 0.791 4.083
Nb 6.178 -1.668 3.013
Nb 7.267 -2.247 0.179
Nb 5.338 3.044 4.885
Nb 2.504 0.001 0.391
Nb 3.344 -4.711 -1.481
Nb 1.414 0.579 3.225
Nb 1.416 -2.359 1.977
Nb 7.266 0.691 1.427
V 4.269 -2.849 0.834
V 10.100 3.248 4.335
V -1.419 -4.915 -0.931
V 4.413 1.181 2.570

=====

[4]
4
Lattice="1.119 1.133 4.061 -3.092 0.840 2.960 -0.670 -2.772 3.300" Properties=species:S:1:pos:R:3 comment="NbVSi2 | Alexandria via LeMat-Bulk | GGA-PBE | optimized geometry" sg="Fm-3m, No. 225" pbc="T T T"
Si -0.661 -0.200 2.580
Si -1.982 -0.599 7.740
V 0.000 0.000 0.000
Nb -1.321 -0.400 5.160

=====

[5]
10
Lattice="2.955 0.000 0.000 0.000 4.438 0.047 0.000 -0.995 11.092" Properties=species:S:1:pos:R:3 comment="NbV2Si2 | Alexandria via LeMat-Bulk | GGA-PBE | optimized geometry" sg="P2_1/m, No. 11" pbc="T T T"
V 2.217 0.636 1.327
V 0.739 0.618 5.724
V 2.217 2.825 5.414
V 0.739 2.807 9.812
Si 0.739 0.534 10.509
Si 2.217 0.619 3.759
Si 0.739 2.824 7.380
Si 2.217 2.909 0.630
Nb 2.217 0.602 8.134
Nb 0.739 2.841 3.005

=====

[6]
8
Lattice="-4.539 -1.939 0.066 1.513 -3.441 3.199 -1.213 2.958 3.761" Properties=species:S:1:pos:R:3 comment="Nb3V3Si2 | Alexandria via LeMat-Bulk | GGA-PBE | optimized geometry" sg="R32, No. 155" pbc="T T T"
V 0.835 -1.849 3.339
V -3.033 -2.313 0.845
V -2.040 1.740 2.842
Nb -3.640 -0.834 2.726
Nb -1.435 -2.819 3.372
Nb -1.284 0.019 4.441
Si -1.043 -0.596 1.728
Si -3.196 -1.826 5.298

=====

| no. | DOS at the Fermi energy (states/eV/f.u.) | total DFT energy (no corrections) (eV per atom) |
| --- | --- | --- |
| 1 | 4.37 | -7.3796 |
| 2 | 3.41 | -6.3710 |
| 3 | 6.40 | -8.4344 |
| 4 | 4.26 | -7.6237 |
| 5 | 3.35 | -8.1239 |
| 6 | 13.66 | -8.9192 |